[1]
First-principles (PBE) data for a relaxed La2SmTm crystal, as listed in Alexandria via LeMat-Bulk.

Cell lengths 11.9500, 11.9500, 11.9500 Å; angles 17.65, 17.65, 17.65 degrees
Element x y z (fractional)
La1 0.2485 0.2485 0.2485
La2 0.7515 0.7515 0.7515
Sm1 0.0000 0.0000 0.0000
Tm1 0.5000 0.5000 0.5000

Calculated values
Energy of formation = 0.0148 eV per atom
Crystal system = trigonal
Distance to the lowest polymorph of the same formula = 0 meV/atom

[2]
First-principles (PBE) data for a relaxed Pm2GdFe crystal, as listed in Alexandria via LeMat-Bulk.

Cell lengths 3.5103, 3.5103, 9.0071 Å; angles 90.00, 90.00, 90.00 degrees
Element x y z (fractional)
Pm1 0.0000 0.0000 0.1863
Pm2 0.0000 0.0000 0.8137
Gd1 0.5000 0.5000 0.5000
Fe1 0.5000 0.5000 0.0000

Calculated values
Energy of formation = 0.1792 eV per atom
Crystal system = tetragonal

[3]
First-principles (PBE) data for a relaxed ZnCd2Si2 crystal, as listed in Alexandria via LeMat-Bulk.

Cell lengths 6.4940, 6.4940, 4.6662 Å; angles 90.00, 90.00, 90.00 degrees
Element x y z (fractional)
Zn1 0.0000 0.0000 0.0000
Zn2 0.5000 0.5000 0.0000
Cd1 0.1936 0.3064 0.5000
Cd2 0.3064 0.8064 0.5000
Cd3 0.6936 0.1936 0.5000
Cd4 0.8064 0.6936 0.5000
Si1 0.1306 0.6306 0.0000
Si2 0.3694 0.1306 0.0000
Si3 0.6306 0.8694 0.0000
Si4 0.8694 0.3694 0.0000

Calculated values
Crystal system = tetragonal
Distance to the lowest polymorph of the same formula = 24 meV/atom
Formation energy without anion corrections = 305 meV/atom